Here is an optimized crystal structure of PrDyMg from the Alexandria database. Energies are from PBE.

abc: 3.760 3.760 12.957
angles: 90.00 90.00 90.00
Space group I4mm (No. 107)
Inequivalent atoms, fractional coordinates:
Pr  0.000  0.000  0.000 x2
Dy  0.000  0.000  0.314 x2
Mg  0.000  0.000  0.664 x2

Its formation energy is -0.045 eV per atom. As for the density of states at the Fermi level: 8.63 states/eV per cell. The calculation puts the energy above the most stable polymorph in this dataset at 5 meV/atom. As for the crystal system: tetragonal. The total energy comes out at -22.2 eV/cell. For the spin magnetization, the calculation gives 0.09 μB/f.u.

Here is an optimized crystal structure of PmMgZnGe from the Alexandria database. Energies are from PBE.

abc: 7.000 7.000 7.000
angles: 90.00 90.00 90.00
Space group F-43m (No. 216)
Inequivalent atoms, fractional coordinates:
Pm  0.000  0.000  0.000 x4
Mg  0.000  0.000  0.500 x4
Zn  0.250  0.250  0.750 x4
Ge  0.250  0.250  0.250 x4

Its formation energy is -0.344 eV per atom. As for the density of states at the Fermi level: 11.95 states/eV per cell. As for the crystal system: cubic. The total energy comes out at -54.4 eV/cell. For the spin magnetization, the calculation gives 0.00 μB/f.u.

Here is an optimized crystal structure of DyHoSc2Sb4 from the Alexandria database. Energies are from PBE.

abc: 7.393 4.274 7.403
angles: 90.00 109.48 90.00
Space group P2/m (No. 10)
Inequivalent atoms, fractional coordinates:
Dy  0.000  0.000  0.000 x1
Ho  0.000  0.500  0.500 x1
Sc  0.500  0.000  0.500 x1
Sc  0.500  0.500  0.000 x1
Sb  0.264  0.000  0.754 x2
Sb  0.265  0.500  0.255 x2

As for the density of states at the Fermi level: 1.35 states/eV per cell. As for the formation energy (no corrections): -1.02 eV/atom. As for the crystal system: monoclinic. The total energy comes out at -46.5 eV/cell. For the spin magnetization, the calculation gives 0.00 μB/f.u.

What did the second record say?
Here is an optimized crystal structure of PmMgZnGe from the Alexandria database. Energies are from PBE.

abc: 7.000 7.000 7.000
angles: 90.00 90.00 90.00
Space group F-43m (No. 216)
Inequivalent atoms, fractional coordinates:
Pm  0.000  0.000  0.000 x4
Mg  0.000  0.000  0.500 x4
Zn  0.250  0.250  0.750 x4
Ge  0.250  0.250  0.250 x4

Its formation energy is -0.344 eV per atom. As for the density of states at the Fermi level: 11.95 states/eV per cell. As for the crystal system: cubic. The total energy comes out at -54.4 eV/cell. For the spin magnetization, the calculation gives 0.00 μB/f.u.

Look up the spin magnetization of the third one.
0.00 μB/f.u.

spin magnetization of number 2 (PmMgZnGe)?
0.00 μB/f.u.

Repeat the second record exactly.
Here is an optimized crystal structure of PmMgZnGe from the Alexandria database. Energies are from PBE.

abc: 7.000 7.000 7.000
angles: 90.00 90.00 90.00
Space group F-43m (No. 216)
Inequivalent atoms, fractional coordinates:
Pm  0.000  0.000  0.000 x4
Mg  0.000  0.000  0.500 x4
Zn  0.250  0.250  0.750 x4
Ge  0.250  0.250  0.250 x4

Its formation energy is -0.344 eV per atom. As for the density of states at the Fermi level: 11.95 states/eV per cell. As for the crystal system: cubic. The total energy comes out at -54.4 eV/cell. For the spin magnetization, the calculation gives 0.00 μB/f.u.